# 1
# Mn2CoNi GGA-PBE relaxed
data_Mn2CoNi
_chemical_formula_sum 'Mn2 Co1 Ni1'
_cell_length_a 4.4133
_cell_length_b 4.4133
_cell_length_c 4.4133
_cell_angle_alpha 132.64
_cell_angle_beta 132.64
_cell_angle_gamma 69.22
_space_group_name_H-M_alt 'P 1'
_space_group_IT_number 1
loop_
_space_group_symop_operation_xyz
'x,y,z'
loop_
_atom_site_label
_atom_site_type_symbol
_atom_site_fract_x
_atom_site_fract_y
_atom_site_fract_z
Mn1 Mn 0.0000 0.0000 0.0000
Mn2 Mn 0.7500 0.2500 0.5000
Co1 Co 0.5000 0.5000 0.0000
Ni1 Ni 0.2500 0.7500 0.5000
# Offset from the most stable computed form in eV per atom: 0.000
# Energy in eV per atom: -7.8561
# DFT formation energy in eV/atom: -0.05
# Theoretical density in kg/m³: 8276



# 2
# Mn2CoNi GGA-PBE relaxed
data_Mn2CoNi
_chemical_formula_sum 'Mn2 Co1 Ni1'
_cell_length_a 4.3100
_cell_length_b 4.3100
_cell_length_c 4.3100
_cell_angle_alpha 132.06
_cell_angle_beta 132.06
_cell_angle_gamma 70.14
_space_group_name_H-M_alt 'P 1'
_space_group_IT_number 1
loop_
_space_group_symop_operation_xyz
'x,y,z'
loop_
_atom_site_label
_atom_site_type_symbol
_atom_site_fract_x
_atom_site_fract_y
_atom_site_fract_z
Mn1 Mn 0.2500 0.7500 0.5000
Mn2 Mn 0.7500 0.2500 0.5000
Co1 Co 0.0000 0.0000 0.0000
Ni1 Ni 0.5000 0.5000 0.0000
# Offset from the most stable computed form in eV per atom: 0.118
# Energy in eV per atom: -7.7378
# DFT formation energy in eV/atom: 0.07
# Theoretical density in kg/m³: 8732



# 3
# MnCo2Ni GGA-PBE relaxed
data_MnCo2Ni
_chemical_formula_sum 'Mn1 Co2 Ni1'
_cell_length_a 2.8528
_cell_length_b 2.8528
_cell_length_c 5.7273
_cell_angle_alpha 90.00
_cell_angle_beta 90.00
_cell_angle_gamma 90.00
_space_group_name_H-M_alt 'P 1'
_space_group_IT_number 1
loop_
_space_group_symop_operation_xyz
'x,y,z'
loop_
_atom_site_label
_atom_site_type_symbol
_atom_site_fract_x
_atom_site_fract_y
_atom_site_fract_z
Mn1 Mn 0.0000 0.0000 0.0000
Co1 Co 0.0000 0.0000 0.5072
Co2 Co 0.5000 0.5000 0.7373
Ni1 Ni 0.5000 0.5000 0.2514
# Energy in eV per atom: -7.2137
# DFT formation energy in eV/atom: 0.08
# Theoretical density in kg/m³: 8247



# 4
# Mn3CoNi GGA-PBE relaxed
data_Mn3CoNi
_chemical_formula_sum 'Mn3 Co1 Ni1'
_cell_length_a 4.1418
_cell_length_b 4.1418
_cell_length_c 4.1418
_cell_angle_alpha 90.00
_cell_angle_beta 90.00
_cell_angle_gamma 90.00
_space_group_name_H-M_alt 'P 1'
_space_group_IT_number 1
loop_
_space_group_symop_operation_xyz
'x,y,z'
loop_
_atom_site_label
_atom_site_type_symbol
_atom_site_fract_x
_atom_site_fract_y
_atom_site_fract_z
Mn1 Mn 0.0000 0.0000 0.5000
Mn2 Mn 0.0000 0.5000 0.0000
Mn3 Mn 0.5000 0.0000 0.0000
Co1 Co 0.5000 0.5000 0.5000
Ni1 Ni 0.0000 0.0000 0.0000
# Offset from the most stable computed form in eV per atom: 0.611
# Energy in eV per atom: -6.4106
# DFT formation energy in eV/atom: 1.67
# Theoretical density in kg/m³: 6601